# Mn2ReBr PBEsol relaxed
# raw formation energy: 1119.4 meV/atom
# E above lowest polymorph: 611 meV per atom
# N(E_F): 1.39 states/eV/atom
# magnetic moment: 3.28 μB/f.u.
# total energy: -7.562 eV/atom
data_Mn2ReBr
_chemical_formula_sum 'Mn8 Re4 Br4'
_space_group_name_H-M_alt 'F m -3 m'
_space_group_IT_number 225
_space_group_name_Hall '-F 4 2 3'
_cell_length_a 6.035
_cell_length_b 6.035
_cell_length_c 6.035
_cell_angle_alpha 90.00
_cell_angle_beta 90.00
_cell_angle_gamma 90.00
loop_
_atom_site_label
_atom_site_type_symbol
_atom_site_fract_x
_atom_site_fract_y
_atom_site_fract_z
Mn1 Mn 0.250 0.250 0.250
Re1 Re 0.000 0.000 0.000
Br1 Br 0.000 0.000 0.500